# MnAl3Os

MnAl3Os after structural relaxation (PBE, the Alexandria database).

The formation energy is 0.362 eV/atom. As for the uncorrected energy: -29.819 eV for the cell shown. As for the volume: 21.00 Å³ per atom. For the distance to the lowest polymorph of the same formula, the calculation gives 0 meV/atom. The calculation puts the density of states at the Fermi level at 3.23 states/eV/cell. For the spin magnetization, the calculation gives 4.8 μB/f.u.

It has space group Pm-3m (No. 221), with a = 4.718 Å, b = 4.718 Å, c = 4.718 Å, α = 90.00°, β = 90.00° and γ = 90.00°. The inequivalent atoms are Mn at (0.000, 0.000, 0.000), Al at (0.000, 0.500, 0.500) and Os at (0.500, 0.500, 0.500).

# MnTcMo2

MnTcMo2 after structural relaxation (PBE, the Alexandria database).

The formation energy is 0.288 eV/atom. As for the uncorrected energy: -120.140 eV for the cell shown. As for the volume: 14.63 Å³ per atom. For the distance to the lowest polymorph of the same formula, the calculation gives 224 meV/atom. The calculation puts the density of states at the Fermi level at 13.76 states/eV/cell. For the spin magnetization, the calculation gives 1.1 μB/f.u.

It has space group R3m (No. 160, hexagonal axes), with a = 2.7323 Å, b = 2.7323 Å, c = 27.1523 Å, α = 90.00°, β = 90.00° and γ = 120.00°. The inequivalent atoms are Mn at (0.0000, 0.0000, 0.0000), Tc at (0.0000, 0.0000, 0.7407), Mo at (0.0000, 0.0000, 0.2529) and Mo at (0.0000, 0.0000, 0.4944).

# Zr2Zn

Zr2Zn after structural relaxation (PBE, the Alexandria database).

The formation energy is -0.125 eV/atom. As for the uncorrected energy: -56.240 eV for the cell shown. As for the volume: 20.57 Å³ per atom. The calculation puts the density of states at the Fermi level at 10.37 states/eV/cell. For the spin magnetization, the calculation gives 0.0 μB/f.u.

It has space group P-62m (No. 189), with a = 7.9453 Å, b = 7.9453 Å, c = 3.3863 Å, α = 90.00°, β = 90.00° and γ = 120.00°. The inequivalent atoms are Zr at (0.0000, 0.2759, 0.0000), Zr at (0.0000, 0.6070, 0.5000), Zn at (0.0000, 0.0000, 0.5000) and Zn at (0.3333, 0.6667, 0.0000).

# AlTlRu2

AlTlRu2 after structural relaxation (PBE, the Alexandria database).

The formation energy is 0.042 eV/atom. As for the uncorrected energy: -24.493 eV for the cell shown. As for the volume: 15.81 Å³ per atom. For the distance to the lowest polymorph of the same formula, the calculation gives 0 meV/atom. The calculation puts the density of states at the Fermi level at 5.47 states/eV/cell. For the spin magnetization, the calculation gives 0.4 μB/f.u.

It has space group P4/mmm (No. 123), with a = 3.113 Å, b = 3.113 Å, c = 6.524 Å, α = 90.00°, β = 90.00° and γ = 90.00°. The inequivalent atoms are Al at (0.000, 0.000, 0.000), Tl at (0.000, 0.000, 0.500) and Ru at (0.500, 0.500, 0.219).

# BaV2Tc

BaV2Tc after structural relaxation (PBE, the Alexandria database).

The formation energy is 1.046 eV/atom. As for the uncorrected energy: -105.371 eV for the cell shown. As for the volume: 28.07 Å³ per atom. For the distance to the lowest polymorph of the same formula, the calculation gives 0 meV/atom. The calculation puts the density of states at the Fermi level at 17.73 states/eV/cell. For the spin magnetization, the calculation gives 4.0 μB/f.u.

It has space group I4_1/amd (No. 141, origin choice 2), with a = 5.319 Å, b = 5.319 Å, c = 15.870 Å, α = 90.00°, β = 90.00° and γ = 90.00°. The inequivalent atoms are Ba at (0.000, 0.250, 0.375), V at (0.000, 0.000, 0.000) and Tc at (0.000, 0.250, 0.875).

# CeAsPd6

CeAsPd6 after structural relaxation (PBE, the Alexandria database).

The formation energy is -0.251 eV/atom. As for the uncorrected energy: -131.247 eV for the cell shown. As for the volume: 19.28 Å³ per atom. The calculation puts the density of states at the Fermi level at 12.73 states/eV/cell. For the spin magnetization, the calculation gives 0.0 μB/f.u.

It has space group R-3m (No. 166, hexagonal axes), with a = 7.7274 Å, b = 7.7274 Å, c = 8.9483 Å, α = 90.00°, β = 90.00° and γ = 120.00°. The inequivalent atoms are Ce at (0.0000, 0.0000, 0.0000), As at (0.0000, 0.0000, 0.5000) and Pd at (0.0812, 0.5406, 0.3602).

# NaBi3As

NaBi3As after structural relaxation (PBE, the Alexandria database).

The formation energy is 0.878 eV/atom. As for the uncorrected energy: -13.221 eV for the cell shown. As for the volume: 32.53 Å³ per atom. For the distance to the lowest polymorph of the same formula, the calculation gives 567 meV/atom. The calculation puts the density of states at the Fermi level at 4.80 states/eV/cell. For the spin magnetization, the calculation gives 0.0 μB/f.u.

It has space group Pm-3m (No. 221), with a = 5.459 Å, b = 5.459 Å, c = 5.459 Å, α = 90.00°, β = 90.00° and γ = 90.00°. The inequivalent atoms are Na at (0.000, 0.000, 0.000), Bi at (0.000, 0.000, 0.500) and As at (0.500, 0.500, 0.500).

# NdTlCd2

NdTlCd2 after structural relaxation (PBE, the Alexandria database).

The formation energy is -0.173 eV/atom. As for the uncorrected energy: -9.656 eV for the cell shown. As for the volume: 27.41 Å³ per atom. For the distance to the lowest polymorph of the same formula, the calculation gives 118 meV/atom. The calculation puts the density of states at the Fermi level at 2.57 states/eV/cell. For the spin magnetization, the calculation gives 0.4 μB/f.u.

It has space group P4/mmm (No. 123), with a = 3.949 Å, b = 3.949 Å, c = 7.029 Å, α = 90.00°, β = 90.00° and γ = 90.00°. The inequivalent atoms are Nd at (0.000, 0.000, 0.000), Tl at (0.000, 0.000, 0.500) and Cd at (0.500, 0.500, 0.258).

# VRe2Hg2

VRe2Hg2 after structural relaxation (PBE, the Alexandria database).

The formation energy is 0.820 eV/atom. As for the uncorrected energy: -61.035 eV for the cell shown. As for the volume: 18.42 Å³ per atom. For the distance to the lowest polymorph of the same formula, the calculation gives 0 meV/atom. The calculation puts the density of states at the Fermi level at 10.11 states/eV/cell. For the spin magnetization, the calculation gives 0.0 μB/f.u.

It has space group P4/mbm (No. 127), with a = 6.331 Å, b = 6.331 Å, c = 4.597 Å, α = 90.00°, β = 90.00° and γ = 90.00°. The inequivalent atoms are V at (0.000, 0.000, 0.000), Re at (0.136, 0.364, 0.000) and Hg at (0.178, 0.678, 0.500).

# BeAl2ZnCd

BeAl2ZnCd after structural relaxation (PBE, the Alexandria database).

The formation energy is 0.348 eV/atom. As for the uncorrected energy: -11.662 eV for the cell shown. As for the volume: 18.17 Å³ per atom. The calculation puts the density of states at the Fermi level at 2.06 states/eV/cell. For the spin magnetization, the calculation gives 0.0 μB/f.u.

It has space group P4/mmm (No. 123), with a = 4.557 Å, b = 4.557 Å, c = 4.376 Å, α = 90.00°, β = 90.00° and γ = 90.00°. The inequivalent atoms are Be at (0.000, 0.000, 0.000), Al at (0.000, 0.500, 0.000), Zn at (0.000, 0.000, 0.500) and Cd at (0.500, 0.500, 0.500).

# CaCuSe2

CaCuSe2 after structural relaxation (PBE, the Alexandria database).

As for the uncorrected energy: -16.416 eV for the cell shown. As for the volume: 22.51 Å³ per atom. The calculation puts the uncorrected formation energy at -3.349 eV per formula unit. The calculation puts the density of states at the Fermi level at 3.11 states/eV/cell. For the spin magnetization, the calculation gives 0.0 μB/f.u.

It has space group P4mm (No. 99), with a = 3.980 Å, b = 3.980 Å, c = 5.682 Å, α = 90.00°, β = 90.00° and γ = 90.00°. The inequivalent atoms are Ca at (0.000, 0.000, 0.000), Cu at (0.500, 0.500, 0.481), Se at (0.000, 0.000, 0.502) and Se at (0.500, 0.500, 0.025).

# TaSiTc2Sn

TaSiTc2Sn after structural relaxation (PBE, the Alexandria database).

As for the uncorrected energy: -31.353 eV for the cell shown. As for the volume: 21.69 Å³ per atom. The calculation puts the uncorrected formation energy at 10.657 eV per formula unit. The calculation puts the density of states at the Fermi level at 5.47 states/eV/cell. For the spin magnetization, the calculation gives 0.0 μB/f.u.

It has space group P4/mmm (No. 123), with a = 4.815 Å, b = 4.815 Å, c = 4.679 Å, α = 90.00°, β = 90.00° and γ = 90.00°. The inequivalent atoms are Ta at (0.000, 0.000, 0.000), Si at (0.500, 0.500, 0.000), Tc at (0.000, 0.500, 0.500) and Sn at (0.500, 0.500, 0.500).

# Ba3SrCd

Ba3SrCd after structural relaxation (PBE, the Alexandria database).

The formation energy is 0.646 eV/atom. As for the uncorrected energy: -5.136 eV for the cell shown. As for the volume: 65.23 Å³ per atom. For the distance to the lowest polymorph of the same formula, the calculation gives 719 meV/atom. The calculation puts the density of states at the Fermi level at 13.09 states/eV/cell. For the spin magnetization, the calculation gives 0.0 μB/f.u.

It has space group Pm-3m (No. 221), with a = 6.883 Å, b = 6.883 Å, c = 6.883 Å, α = 90.00°, β = 90.00° and γ = 90.00°. The inequivalent atoms are Ba at (0.000, 0.000, 0.500), Sr at (0.000, 0.000, 0.000) and Cd at (0.500, 0.500, 0.500).

# Zn2MoIr2

Zn2MoIr2 after structural relaxation (PBE, the Alexandria database).

The formation energy is -0.225 eV/atom. As for the uncorrected energy: -64.452 eV for the cell shown. As for the volume: 15.26 Å³ per atom. For the distance to the lowest polymorph of the same formula, the calculation gives 0 meV/atom. The calculation puts the density of states at the Fermi level at 4.77 states/eV/cell. For the spin magnetization, the calculation gives 0.0 μB/f.u.

It has space group Cmmm (No. 65), with a = 2.812 Å, b = 19.099 Å, c = 2.841 Å, α = 90.00°, β = 90.00° and γ = 90.00°. The inequivalent atoms are Zn at (0.000, 0.190, 0.000), Mo at (0.000, 0.000, 0.000) and Ir at (0.000, 0.404, 0.500).

# TcHg3Pt

TcHg3Pt after structural relaxation (PBE, the Alexandria database).

The formation energy is 1.004 eV/atom. As for the uncorrected energy: -12.293 eV for the cell shown. As for the volume: 28.44 Å³ per atom. For the distance to the lowest polymorph of the same formula, the calculation gives 0 meV/atom. The calculation puts the density of states at the Fermi level at 5.83 states/eV/cell. For the spin magnetization, the calculation gives 4.5 μB/f.u.

It has space group Pm-3m (No. 221), with a = 5.219 Å, b = 5.219 Å, c = 5.219 Å, α = 90.00°, β = 90.00° and γ = 90.00°. The inequivalent atoms are Tc at (0.000, 0.000, 0.000), Hg at (0.000, 0.500, 0.500) and Pt at (0.500, 0.500, 0.500).

# Zn2RuCl

Zn2RuCl after structural relaxation (PBE, the Alexandria database).

As for the uncorrected energy: -24.179 eV for the cell shown. As for the volume: 15.15 Å³ per atom. The calculation puts the uncorrected formation energy at 1.581 eV per formula unit. For the distance to the lowest polymorph of the same formula, the calculation gives 464 meV/atom. The calculation puts the density of states at the Fermi level at 5.91 states/eV/cell. For the spin magnetization, the calculation gives 0.2 μB/f.u.

It has space group I4/mmm (No. 139), with a = 3.721 Å, b = 3.721 Å, c = 8.756 Å, α = 90.00°, β = 90.00° and γ = 90.00°. The inequivalent atoms are Zn at (0.000, 0.500, 0.250), Ru at (0.000, 0.000, 0.000) and Cl at (0.000, 0.000, 0.500).

# Be2FeHg

Be2FeHg after structural relaxation (PBE, the Alexandria database).

The formation energy is 0.627 eV/atom. As for the uncorrected energy: -54.841 eV for the cell shown. As for the volume: 13.16 Å³ per atom. The calculation puts the density of states at the Fermi level at 7.62 states/eV/cell. For the spin magnetization, the calculation gives 1.7 μB/f.u.

It has space group I-42d (No. 122), with a = 6.341 Å, b = 6.341 Å, c = 5.234 Å, α = 90.00°, β = 90.00° and γ = 90.00°. The inequivalent atoms are Be at (0.227, 0.250, 0.125), Fe at (0.000, 0.000, 0.000) and Hg at (0.000, 0.000, 0.500).

# CaSm2Dy

CaSm2Dy after structural relaxation (PBE, the Alexandria database).

The formation energy is 0.109 eV/atom. As for the uncorrected energy: -15.604 eV for the cell shown. As for the volume: 34.25 Å³ per atom. For the distance to the lowest polymorph of the same formula, the calculation gives 63 meV/atom. The calculation puts the density of states at the Fermi level at 6.57 states/eV/cell. For the spin magnetization, the calculation gives 0.0 μB/f.u.

It has space group P4/mmm (No. 123), with a = 5.192 Å, b = 5.192 Å, c = 5.083 Å, α = 90.00°, β = 90.00° and γ = 90.00°. The inequivalent atoms are Ca at (0.000, 0.000, 0.000), Sm at (0.000, 0.500, 0.500) and Dy at (0.500, 0.500, 0.000).

# Ca3Y2

Ca3Y2 after structural relaxation (PBE, the Alexandria database).

The formation energy is 0.158 eV/atom. As for the uncorrected energy: -145.124 eV for the cell shown. As for the volume: 36.78 Å³ per atom. The calculation puts the density of states at the Fermi level at 63.61 states/eV/cell. For the spin magnetization, the calculation gives 0.0 μB/f.u.

It has space group Fdd2 (No. 43), with a = 12.475 Å, b = 17.885 Å, c = 6.593 Å, α = 90.00°, β = 90.00° and γ = 90.00°. The inequivalent atoms are Ca at (0.000, 0.000, 0.000), Ca at (0.037, 0.400, 0.024) and Y at (0.021, 0.297, 0.562).

# AlAsOs2

AlAsOs2 after structural relaxation (PBE, the Alexandria database).

The formation energy is 0.327 eV/atom. As for the uncorrected energy: -59.087 eV for the cell shown. As for the volume: 15.05 Å³ per atom. For the distance to the lowest polymorph of the same formula, the calculation gives 369 meV/atom. The calculation puts the density of states at the Fermi level at 6.88 states/eV/cell. For the spin magnetization, the calculation gives 0.0 μB/f.u.

It has space group C2/m (No. 12), with a = 5.791 Å, b = 8.185 Å, c = 2.919 Å, α = 90.00°, β = 119.49° and γ = 90.00°. The inequivalent atoms are Al at (0.000, 0.000, 0.000), As at (0.000, 0.500, 0.000) and Os at (0.250, 0.250, 0.500).